Entry 1:
Compound: TcOsN2O
Source: Alexandria
Functional: PBE-GGA
Structure: optimized geometry

a = 3.8621 Å, b = 3.8621 Å, c = 3.9674 Å
α = 90.00°, β = 90.00°, γ = 90.00°
Fractional positions:
Tc 0.0000 0.0000 0.0000
Os 0.5000 0.5000 0.5000
N 0.0000 0.5000 0.5000
N 0.5000 0.0000 0.5000
O 0.5000 0.5000 0.0000

Computed properties:
DOS at the Fermi energy, states/eV per cell: 3.71
Magnetization, μB per cell: 4.223
SG: No. 123
Formation energy (no corrections), eV/atom: 0.907
DFT total energy, eV per atom: -7.73

---

Entry 2:
Compound: TcOsN2O
Source: Alexandria
Functional: PBE-GGA
Structure: optimized geometry

a = 3.9450 Å, b = 3.9450 Å, c = 3.7647 Å
α = 90.00°, β = 90.00°, γ = 90.00°
Fractional positions:
Tc 0.0000 0.0000 0.0000
Os 0.5000 0.5000 0.5000
N 0.0000 0.5000 0.0000
N 0.5000 0.0000 0.0000
O 0.0000 0.0000 0.5000

Computed properties:
DOS at the Fermi energy, states/eV per cell: 3.08
Magnetization, μB per cell: 2.997
SG: No. 123
Formation energy (no corrections), eV/atom: 1.214
DFT total energy, eV per atom: -7.43

---

Entry 3:
Compound: TeOsNO2
Source: Alexandria
Functional: PBE-GGA
Structure: optimized geometry

a = 4.0182 Å, b = 4.0182 Å, c = 4.2717 Å
α = 90.00°, β = 90.00°, γ = 90.00°
Fractional positions:
Te 0.0000 0.0000 0.0000
Os 0.5000 0.5000 0.5000
N 0.0000 0.0000 0.5000
O 0.0000 0.5000 0.0000
O 0.5000 0.0000 0.0000

Computed properties:
DOS at the Fermi energy, states/eV per cell: 5.25
Magnetization, μB per cell: 4.179
SG: No. 123
Formation energy (no corrections), eV/atom: 1.260
DFT total energy, eV per atom: -5.26